Entry 1:
# Na4LaPm3Se8, relaxed, DFT PBE
# final energy	-4.98	eV per atom
# D(E_F)	0.00	states/eV/atom
data_Na4LaPm3Se8
_space_group_name_H-M_alt 'R -3 m'
_space_group_IT_number 166
_space_group_name_Hall '-R 3 2"'
_cell_length_a 8.5752
_cell_length_b 8.5752
_cell_length_c 20.9932
_cell_angle_alpha 90.00
_cell_angle_beta 90.00
_cell_angle_gamma 120.00
loop_
_atom_site_label
_atom_site_type_symbol
_atom_site_fract_x
_atom_site_fract_y
_atom_site_fract_z
Na1 Na 0.0000 0.0000 0.0000
Na2 Na 0.0000 0.5000 0.0000
La1 La 0.0000 0.0000 0.5000
Pm1 Pm 0.0000 0.5000 0.5000
Se1 Se 0.0000 0.0000 0.2448
Se2 Se 0.0047 0.5024 0.7547

Entry 2:
# NaLa4Pm3Se8, relaxed, DFT PBE
# final energy	-5.82	eV per atom
# D(E_F)	0.67	states/eV/atom
data_NaLa4Pm3Se8
_space_group_name_H-M_alt 'R -3 m'
_space_group_IT_number 166
_space_group_name_Hall '-R 3 2"'
_cell_length_a 8.5408
_cell_length_b 8.5408
_cell_length_c 20.7767
_cell_angle_alpha 90.00
_cell_angle_beta 90.00
_cell_angle_gamma 120.00
loop_
_atom_site_label
_atom_site_type_symbol
_atom_site_fract_x
_atom_site_fract_y
_atom_site_fract_z
Na1 Na 0.0000 0.0000 0.0000
La1 La 0.0000 0.0000 0.5000
La2 La 0.0000 0.5000 0.5000
Pm1 Pm 0.0000 0.5000 0.0000
Se1 Se 0.0000 0.0000 0.2523
Se2 Se 0.0015 0.5008 0.7471

Number 1: ΔE_f (raw) -1707 meV/atom. Number 2: ΔE_f (raw) -1875 meV/atom.